(1)
{
  "formula": "K3AlF",
  "functional": "GGA-PBEsol",
  "state": "optimized geometry",
  "lattice_angstrom": [[5.365, 0.000, 0.000], [0.000, 5.365, 0.000], [0.000, 0.000, 5.365]],
  "species": ["K", "K", "K", "Al", "F"],
  "fractional_positions": [[0.000, 0.000, 0.500], [0.000, 0.500, 0.000], [0.500, 0.000, 0.000], [0.500, 0.500, 0.500], [0.000, 0.000, 0.000]],
  "n_ef_per_ev_fu": 3.1,
  "dft_energy_ev_per_atom": -2.697,
  "e_form_raw_ev_per_atom": -0.813,
  "rho_g_cm3": 1.76
}


(2)
{
  "formula": "K2AlF5",
  "functional": "GGA-PBEsol",
  "state": "optimized geometry",
  "lattice_angstrom": [[5.889, 0.000, 0.000], [0.000, 5.889, 0.000], [0.000, 0.000, 3.699]],
  "species": ["K", "K", "Al", "F", "F", "F", "F", "F"],
  "fractional_positions": [[0.000, 0.500, 0.000], [0.500, 0.000, 0.000], [0.000, 0.000, 0.500], [0.000, 0.000, 0.000], [0.216, 0.216, 0.500], [0.216, 0.784, 0.500], [0.784, 0.216, 0.500], [0.784, 0.784, 0.500]],
  "n_ef_per_ev_fu": 0.0,
  "dft_energy_ev_per_atom": -5.273,
  "e_form_raw_ev_per_atom": -3.274,
  "rho_g_cm3": 2.59
}


(3)
{
  "formula": "K2LiAlF6",
  "functional": "GGA-PBEsol",
  "state": "optimized geometry",
  "lattice_angstrom": [[5.632, 0.000, 0.000], [-2.816, 4.877, 0.000], [0.000, 0.000, 4.883]],
  "species": ["K", "K", "Li", "Al", "F", "F", "F", "F", "F", "F"],
  "fractional_positions": [[0.333, 0.667, 0.247], [0.667, 0.333, 0.753], [0.000, 0.000, 0.000], [0.000, 0.000, 0.500], [0.148, 0.297, 0.724], [0.148, 0.852, 0.724], [0.297, 0.148, 0.276], [0.703, 0.852, 0.724], [0.852, 0.148, 0.276], [0.852, 0.703, 0.276]],
  "n_ef_per_ev_fu": 0.0,
  "dft_energy_ev_per_atom": -5.188,
  "e_form_raw_ev_per_atom": -3.199,
  "rho_g_cm3": 2.80
}


(4)
{
  "formula": "K2LiAlF6",
  "functional": "GGA-PBEsol",
  "state": "optimized geometry",
  "lattice_angstrom": [[0.000, 3.910, 3.910], [3.910, 0.000, 3.910], [3.910, 3.910, 0.000]],
  "species": ["K", "K", "Li", "Al", "F", "F", "F", "F", "F", "F"],
  "fractional_positions": [[0.250, 0.250, 0.250], [0.750, 0.750, 0.750], [0.000, 0.000, 0.000], [0.500, 0.500, 0.500], [0.266, 0.266, 0.734], [0.266, 0.734, 0.266], [0.266, 0.734, 0.734], [0.734, 0.266, 0.266], [0.734, 0.266, 0.734], [0.734, 0.734, 0.266]],
  "n_ef_per_ev_fu": 0.0,
  "dft_energy_ev_per_atom": -5.237,
  "e_form_raw_ev_per_atom": -3.248,
  "rho_g_cm3": 3.14
}


(5)
{
  "formula": "K2LiAlF6",
  "functional": "GGA-PBEsol",
  "state": "optimized geometry",
  "lattice_angstrom": [[2.795, 1.614, 9.160], [-2.795, 1.614, 9.160], [0.000, -3.228, 9.160]],
  "species": ["K", "K", "K", "K", "Li", "Li", "Al", "Al", "F", "F", "F", "F", "F", "F", "F", "F", "F", "F", "F", "F"],
  "fractional_positions": [[0.127, 0.127, 0.127], [0.281, 0.281, 0.281], [0.719, 0.719, 0.719], [0.873, 0.873, 0.873], [0.403, 0.403, 0.403], [0.597, 0.597, 0.597], [0.000, 0.000, 0.000], [0.500, 0.500, 0.500], [0.161, 0.611, 0.611], [0.193, 0.193, 0.729], [0.193, 0.729, 0.193], [0.271, 0.807, 0.807], [0.389, 0.389, 0.839], [0.389, 0.839, 0.389], [0.611, 0.161, 0.611], [0.611, 0.611, 0.161], [0.729, 0.193, 0.193], [0.807, 0.271, 0.807], [0.807, 0.807, 0.271], [0.839, 0.389, 0.389]],
  "n_ef_per_ev_fu": 0.0,
  "dft_energy_ev_per_atom": -5.231,
  "e_form_raw_ev_per_atom": -3.242,
  "rho_g_cm3": 3.03
}


(6)
{
  "formula": "KAlNF2",
  "functional": "GGA-PBEsol",
  "state": "optimized geometry",
  "lattice_angstrom": [[4.775, 0.000, 0.000], [0.000, 4.775, 0.000], [0.000, 0.000, 4.867]],
  "species": ["K", "Al", "N", "F", "F"],
  "fractional_positions": [[0.000, 0.000, 0.000], [0.500, 0.500, 0.500], [0.000, 0.000, 0.500], [0.000, 0.500, 0.000], [0.500, 0.000, 0.000]],
  "n_ef_per_ev_fu": 0.5,
  "dft_energy_ev_per_atom": -3.485,
  "e_form_raw_ev_per_atom": 0.037,
  "rho_g_cm3": 1.77
}


(7)
{
  "formula": "K4Nb11Al2O20F",
  "functional": "GGA-PBEsol",
  "state": "optimized geometry",
  "lattice_angstrom": [[-4.409, 4.409, 6.343], [4.409, -4.409, 6.343], [4.409, 4.409, -6.343]],
  "species": ["K", "K", "K", "K", "Nb", "Nb", "Nb", "Nb", "Nb", "Nb", "Nb", "Nb", "Nb", "Nb", "Nb", "Al", "Al", "O", "O", "O", "O", "O", "O", "O", "O", "O", "O", "O", "O", "O", "O", "O", "O", "O", "O", "O", "O", "F"],
  "fractional_positions": [[0.000, 0.307, 0.307], [0.000, 0.693, 0.693], [0.307, 0.000, 0.307], [0.693, 0.000, 0.693], [0.176, 0.176, 0.676], [0.176, 0.499, 0.000], [0.184, 0.184, 0.000], [0.499, 0.176, 0.000], [0.499, 0.499, 0.324], [0.500, 0.500, 0.000], [0.501, 0.501, 0.676], [0.501, 0.824, 0.000], [0.816, 0.816, 0.000], [0.824, 0.501, 0.000], [0.824, 0.824, 0.324], [0.250, 0.750, 0.500], [0.750, 0.250, 0.500], [0.005, 0.666, 0.339], [0.008, 0.008, 0.669], [0.008, 0.339, 0.000], [0.327, 0.666, 0.661], [0.330, 0.330, 0.660], [0.330, 0.670, 0.000], [0.334, 0.673, 0.339], [0.334, 0.995, 0.661], [0.339, 0.008, 0.000], [0.339, 0.339, 0.331], [0.661, 0.661, 0.669], [0.661, 0.992, 0.000], [0.666, 0.005, 0.339], [0.666, 0.327, 0.661], [0.670, 0.330, 0.000], [0.670, 0.670, 0.340], [0.673, 0.334, 0.339], [0.992, 0.661, 0.000], [0.992, 0.992, 0.331], [0.995, 0.334, 0.661], [0.000, 0.000, 0.000]],
  "dft_energy_ev_per_atom": -8.692,
  "e_form_raw_ev_per_atom": -2.411,
  "rho_g_cm3": 5.29
}


(8)
{
  "formula": "KAlNiF6",
  "functional": "GGA-PBEsol",
  "state": "optimized geometry",
  "lattice_angstrom": [[-3.470, 3.508, 4.943], [3.470, -3.508, 4.943], [3.470, 3.508, -4.943]],
  "species": ["K", "K", "Al", "Al", "Ni", "Ni", "F", "F", "F", "F", "F", "F", "F", "F", "F", "F", "F", "F"],
  "fractional_positions": [[0.366, 0.116, 0.250], [0.634, 0.884, 0.750], [0.000, 0.500, 0.500], [0.500, 0.500, 0.000], [0.000, 0.000, 0.500], [0.000, 0.500, 0.000], [0.090, 0.439, 0.280], [0.090, 0.810, 0.651], [0.092, 0.842, 0.250], [0.295, 0.545, 0.750], [0.341, 0.190, 0.780], [0.341, 0.561, 0.151], [0.659, 0.439, 0.849], [0.659, 0.810, 0.220], [0.705, 0.455, 0.250], [0.908, 0.158, 0.750], [0.910, 0.190, 0.349], [0.910, 0.561, 0.720]],
  "dft_energy_ev_per_atom": -5.343,
  "e_form_raw_ev_per_atom": -2.793,
  "rho_g_cm3": 3.30
}